# 1
{
  "formula": "VH10N2O2F4",
  "functional": "GGA+U",
  "state": "optimized geometry",
  "crystal_system": "monoclinic",
  "cell": [[-5.1453, -1.8802, 4.5561], [6.6531, -3.7889, 5.9498], [2.3932, 9.4864, 3.3649]],
  "species": ["V", "V", "V", "V", "H", "H", "H", "H", "H", "H", "H", "H", "H", "H", "H", "H", "H", "H", "H", "H", "H", "H", "H", "H", "H", "H", "H", "H", "H", "H", "H", "H", "H", "H", "H", "H", "H", "H", "H", "H", "H", "H", "H", "H", "N", "N", "N", "N", "N", "N", "N", "N", "O", "O", "O", "O", "O", "O", "O", "O", "F", "F", "F", "F", "F", "F", "F", "F", "F", "F", "F", "F", "F", "F", "F", "F"],
  "fractional_positions": [[0.7773, 0.0451, 0.7519], [0.7773, 0.4549, 0.2519], [0.2227, 0.5451, 0.7481], [0.2227, 0.9549, 0.2481], [0.1254, 0.5435, 0.1640], [0.6132, 0.8588, 0.9444], [0.1254, 0.9565, 0.6640], [0.6132, 0.6412, 0.4444], [0.7720, 0.4704, 0.9683], [0.3395, 0.2246, 0.4466], [0.6392, 0.4216, 0.8178], [0.7720, 0.0296, 0.4683], [0.2280, 0.5296, 0.0317], [0.8746, 0.4565, 0.8360], [0.3868, 0.3588, 0.5556], [0.0425, 0.8672, 0.9359], [0.8746, 0.0435, 0.3360], [0.5119, 0.3442, 0.4348], [0.3608, 0.9216, 0.6822], [0.1988, 0.6888, 0.0954], [0.6605, 0.7246, 0.0534], [0.8012, 0.1888, 0.4046], [0.7264, 0.8822, 0.1049], [0.6392, 0.0784, 0.3178], [0.9575, 0.1328, 0.0641], [0.2280, 0.9704, 0.5317], [0.9426, 0.7717, 0.8159], [0.3395, 0.2754, 0.9466], [0.4881, 0.8442, 0.0652], [0.2736, 0.3822, 0.3951], [0.4881, 0.6558, 0.5652], [0.6605, 0.7754, 0.5534], [0.3608, 0.5784, 0.1822], [0.9575, 0.3672, 0.5641], [0.7264, 0.6178, 0.6049], [0.1988, 0.8112, 0.5954], [0.8012, 0.3112, 0.9046], [0.2736, 0.1178, 0.8951], [0.0574, 0.2283, 0.1841], [0.0425, 0.6328, 0.4359], [0.0574, 0.2717, 0.6841], [0.9426, 0.7283, 0.3159], [0.3868, 0.1412, 0.0556], [0.5119, 0.1558, 0.9348], [0.7727, 0.0859, 0.3824], [0.3792, 0.1719, 0.9581], [0.3792, 0.3281, 0.4581], [0.6208, 0.6719, 0.5419], [0.2273, 0.5859, 0.1176], [0.2273, 0.9141, 0.6176], [0.7727, 0.4141, 0.8824], [0.6208, 0.8281, 0.0419], [0.0695, 0.3596, 0.6381], [0.3338, 0.6719, 0.8374], [0.9305, 0.6404, 0.3619], [0.3338, 0.8281, 0.3374], [0.9305, 0.8596, 0.8619], [0.6662, 0.1719, 0.6626], [0.6662, 0.3281, 0.1626], [0.0695, 0.1404, 0.1381], [0.5593, 0.9388, 0.7881], [0.4407, 0.0612, 0.2119], [0.9542, 0.8936, 0.2416], [0.7945, 0.9224, 0.6012], [0.2135, 0.8745, 0.0701], [0.7865, 0.1255, 0.9299], [0.7945, 0.5776, 0.1012], [0.2055, 0.0776, 0.3988], [0.2135, 0.6255, 0.5701], [0.0458, 0.3936, 0.2584], [0.0458, 0.1064, 0.7584], [0.4407, 0.4388, 0.7119], [0.7865, 0.3745, 0.4299], [0.9542, 0.6064, 0.7416], [0.2055, 0.4224, 0.8988], [0.5593, 0.5612, 0.2881]]
}

---

# 2
{
  "formula": "H12WN3O3F3",
  "functional": "GGA+U",
  "state": "optimized geometry",
  "crystal_system": "triclinic",
  "cell": [[-0.4309, 0.4364, 6.1210], [-3.1776, -5.1410, -1.3625], [7.2938, -0.3798, -2.6212]],
  "species": ["H", "H", "H", "H", "H", "H", "H", "H", "H", "H", "H", "H", "W", "N", "N", "N", "O", "O", "O", "F", "F", "F"],
  "fractional_positions": [[0.7141, 0.1247, 0.5043], [0.8723, 0.2467, 0.4036], [0.8417, 0.4479, 0.6075], [0.5747, 0.2421, 0.3400], [0.6346, 0.2807, 0.9839], [0.8629, 0.4547, 0.9639], [0.3499, 0.4080, 0.0855], [0.5015, 0.7438, 0.0101], [0.2868, 0.8308, 0.5990], [0.9400, 0.4957, 0.2084], [0.0017, 0.8445, 0.5399], [0.1507, 0.9240, 0.4239], [0.9245, 0.0038, 0.9365], [0.7495, 0.2660, 0.4626], [0.8332, 0.3523, 0.0382], [0.1108, 0.7974, 0.4750], [0.7903, 0.9831, 0.6762], [0.2970, 0.2412, 0.0821], [0.9506, 0.7059, 0.8724], [0.5490, 0.8265, 0.8727], [0.0127, 0.1040, 0.2482], [0.4777, 0.6974, 0.1132]]
}

---

no.,DOS(E_F) (states/eV/cell),DFT total energy (eV per atom),size of the total moment (μB per formula unit)
1,0.00,-5.251,1.00
2,0.00,-5.287,0.06